Run a
This record from the Alexandria database describes crystalline Li2Sb2Rh at its relaxed geometry. The functional is PBE.

```
Li2Sb2Rh
1.0
6.6992 0.0000 0.0000
0.0000 6.6992 0.0000
0.0000 0.0000 3.9094
Rh Li Sb
2 4 4
direct
0.0000 0.0000 0.0000 Rh
0.5000 0.5000 0.0000 Rh
0.8671 0.6329 0.0000 Li
0.6329 0.1329 0.0000 Li
0.3671 0.8671 0.0000 Li
0.1329 0.3671 0.0000 Li
0.3227 0.1773 0.5000 Sb
0.1773 0.6773 0.5000 Sb
0.6773 0.8227 0.5000 Sb
0.8227 0.3227 0.5000 Sb
```

Results
crystal system	tetragonal
size of the total moment	0.0	μB/f.u.

***

Run b
This record from the Alexandria database describes crystalline Li2Sb2Rh at its relaxed geometry. The functional is PBE.

```
Li2Sb2Rh
1.0
-4.3446 2.6933 0.3152
-0.9579 -0.9674 -4.9371
-4.4231 -2.1035 -1.3859
Li Sb Rh
2 2 1
direct
0.6561 0.6561 0.6878 Li
0.3439 0.3439 0.3122 Li
0.7500 0.2500 0.5000 Sb
0.2500 0.7500 0.5000 Sb
0.0000 0.0000 0.0000 Rh
```

Results
crystal system	tetragonal
size of the total moment	0.0	μB/f.u.

***

Most stable to least stable, the ends of the list are run a and run b.

***

Run a
This record from the Alexandria database describes crystalline Li2ScRh2 at its relaxed geometry. The functional is PBE.

```
Li2ScRh2
1.0
3.2984 0.0000 0.0000
0.0000 3.2984 0.0000
1.6492 1.6492 6.9163
Rh Sc Li
2 1 2
direct
0.6058 0.6058 0.7884 Rh
0.3942 0.3942 0.2116 Rh
0.0000 0.0000 0.0000 Sc
0.7500 0.2500 0.5000 Li
0.2500 0.7500 0.5000 Li
```

Results
crystal system	tetragonal
size of the total moment	0.0	μB/f.u.

***

Run b
This record from the Alexandria database describes crystalline Li2ScRh2 at its relaxed geometry. The functional is PBE.

```
Li2ScRh2
1.0
-6.1510 1.0362 -2.7005
-2.7686 -3.9462 4.7920
-0.4013 2.6054 1.9137
Rh Li Sc
4 4 2
direct
0.8532 0.6468 0.0000 Rh
0.6468 0.1468 0.0000 Rh
0.3532 0.8532 0.0000 Rh
0.1468 0.3532 0.0000 Rh
0.8524 0.3524 0.5000 Li
0.1476 0.6476 0.5000 Li
0.3524 0.1476 0.5000 Li
0.6476 0.8524 0.5000 Li
0.5000 0.5000 0.0000 Sc
0.0000 0.0000 0.0000 Sc
```

Results
crystal system	tetragonal
size of the total moment	0.0	μB/f.u.

***

Most stable to least stable, the ends of the list are run a and run b.